Compound: Li2Ho2ThMg5
Source: Alexandria
Functional: PBE-GGA
Structure: relaxed

Cell lengths 10.5374, 10.5374, 4.4604 Å; angles 90.00, 90.00, 90.00 degrees
Last column: nearest neighbours and their distance in Å.
Space group P4/mbm (No. 127)
Symmetry-distinct sites (fractional):
Li 0.1121 0.3879 0.0000 x4  6 Mg 2.79-2.90, 1 Ho 3.06
Ho 0.1823 0.6823 0.0000 x4  3 Li 3.06-3.19
Th 0.0000 0.0000 0.0000 x2  8 Mg 3.27
Mg 0.0000 0.5000 0.5000 x2  4 Li 2.79, 4 Mg 3.03
Mg 0.0614 0.2189 0.5000 x8  2 Li 2.90, 1 Mg 3.03

Properties
Magnetization = 0.0 μB/f.u.
E_tot = -2.798 eV per atom